Record 1
Density functional theory data (GGA-PBE) for Ta2NiSe6 after structural relaxation.

Summary:
Total magnetic moment   0.000 μB per atom
Formation energy without anion corrections   -0.422 eV/atom
Mass density   7.3 g/cm³

Unit cell a=5.8616 b=6.2318 c=12.3955 alpha=90.00 beta=116.37 gamma=90.00
Closest atoms and distances in Å follow each position.
Atoms (fractional coordinates):
Ta  0.1695  0.1283  0.2498  6 Se 2.54-2.66
Ta  0.1695  0.3717  0.7498  6 Se 2.54-2.66
Ta  0.8305  0.6283  0.2502  6 Se 2.54-2.66
Ta  0.8305  0.8717  0.7502  6 Se 2.54-2.66
Ni  0.5000  0.0000  0.0000  6 Se 2.39-2.62
Ni  0.5000  0.5000  0.5000  6 Se 2.39-2.62
Se  0.0886  0.1627  0.9139  1 Ni 2.39, 2 Ta 2.63-2.64
Se  0.0886  0.3373  0.4139  1 Ni 2.39, 2 Ta 2.63-2.64
Se  0.2162  0.6621  0.9044  2 Ta 2.56-2.58, 1 Ni 2.62
Se  0.2162  0.8379  0.4044  2 Ta 2.56-2.58, 1 Ni 2.62
Se  0.4889  0.0662  0.8030  1 Ni 2.45, 2 Ta 2.54-2.66
Se  0.4889  0.4338  0.3030  1 Ni 2.45, 2 Ta 2.54-2.66
Se  0.5111  0.5662  0.6970  1 Ni 2.45, 2 Ta 2.54-2.66
Se  0.5111  0.9338  0.1970  1 Ni 2.45, 2 Ta 2.54-2.66
Se  0.7838  0.1621  0.5956  2 Ta 2.56-2.58, 1 Ni 2.62
Se  0.7838  0.3379  0.0956  2 Ta 2.56-2.58, 1 Ni 2.62
Se  0.9114  0.6627  0.5861  1 Ni 2.39, 2 Ta 2.63-2.64
Se  0.9114  0.8373  0.0861  1 Ni 2.39, 2 Ta 2.63-2.64



Record 2
Density functional theory data (GGA-PBE) for TaNiSe2 after structural relaxation.

Summary:
Total magnetic moment   0.000 μB per atom
Formation energy without anion corrections   0.009 eV/atom
Mass density   10.2 g/cm³

Unit cell a=4.5080 b=4.5080 c=4.5080 alpha=60.00 beta=60.00 gamma=60.00
Closest atoms and distances in Å follow each position.
Atoms (fractional coordinates):
Ta  0.0000  0.0000  0.0000  8 Se 2.76
Ni  0.5000  0.5000  0.5000  8 Se 2.76
Se  0.2500  0.2500  0.2500  4 Ta 2.76, 4 Ni 2.76
Se  0.7500  0.7500  0.7500  4 Ta 2.76, 4 Ni 2.76



Record 3
Density functional theory data (GGA-PBE) for Ta2NiSe after structural relaxation.

Summary:
Total magnetic moment   0.000 μB per atom
Formation energy without anion corrections   -0.012 eV/atom
Mass density   12.9 g/cm³

Unit cell a=3.0478 b=3.6216 c=5.8848 alpha=90.00 beta=99.30 gamma=90.00
Closest atoms and distances in Å follow each position.
Atoms (fractional coordinates):
Ta  0.0069  0.0000  0.2678  4 Ni 2.60-2.87, 2 Se 2.71, 1 Ta 2.74
Ta  0.9931  0.0000  0.7322  4 Ni 2.60-2.87, 2 Se 2.71, 1 Ta 2.74
Ni  0.5000  0.5000  0.5000  8 Ta 2.60-2.87
Se  0.5000  0.5000  0.0000  8 Ta 2.71-2.96, 2 Ni 2.94



Record 4
Density functional theory data (GGA-PBE) for TaTcNiSe2 after structural relaxation.

Summary:
Total magnetic moment   0.011 μB per atom
Formation energy without anion corrections   1.166 eV/atom
Mass density   7.5 g/cm³

Unit cell a=4.7296 b=4.7296 c=4.9237 alpha=90.00 beta=90.00 gamma=90.00
Closest atoms and distances in Å follow each position.
Atoms (fractional coordinates):
Ta  0.0000  0.0000  0.0000  2 Tc 2.46
Tc  0.0000  0.0000  0.5000  4 Se 2.36, 2 Ta 2.46
Ni  0.5000  0.5000  0.0000  4 Ta 3.34, 8 Se 3.41
Se  0.0000  0.5000  0.5000  2 Tc 2.36
Se  0.5000  0.0000  0.5000  2 Tc 2.36



Record 5
Density functional theory data (GGA-PBE) for Ta2TcNiSe after structural relaxation.

Summary:
Total magnetic moment   0.000 μB per atom
Formation energy without anion corrections   1.042 eV/atom
Mass density   10.4 g/cm³

Unit cell a=4.5836 b=4.5836 c=4.5352 alpha=90.00 beta=90.00 gamma=90.00
Closest atoms and distances in Å follow each position.
Atoms (fractional coordinates):
Ta  0.0000  0.5000  0.0000  2 Ni 2.29
Ta  0.5000  0.0000  0.0000  2 Ni 2.29
Tc  0.0000  0.0000  0.5000  2 Ni 2.27
Ni  0.0000  0.0000  0.0000  2 Tc 2.27, 4 Ta 2.29
Se  0.5000  0.5000  0.5000  8 Ta 3.22, 4 Tc 3.24



Record 6
Density functional theory data (GGA-PBE) for Ta2Tl2NiSe6 after structural relaxation.

Summary:
Total magnetic moment   0.056 μB per atom
Formation energy without anion corrections   -0.485 eV/atom
Mass density   7.7 g/cm³

Unit cell a=6.3550 b=6.3550 c=8.3554 alpha=98.30 beta=98.30 gamma=120.08
Closest atoms and distances in Å follow each position.
Atoms (fractional coordinates):
Ta  0.1886  0.8114  0.0000  6 Se 2.55-2.69
Ta  0.8114  0.1886  0.0000  6 Se 2.55-2.69
Tl  0.3430  0.6570  0.5000  6 Se 3.27-3.34, 1 Tl 3.46
Tl  0.6570  0.3430  0.5000  6 Se 3.27-3.34, 1 Tl 3.46
Ni  0.5000  0.5000  0.0000  6 Se 2.47-2.61
Se  0.0919  0.4111  0.8021  2 Ta 2.55-2.63, 1 Ni 2.61
Se  0.2341  0.2341  0.1651  1 Ni 2.47, 2 Ta 2.69
Se  0.4111  0.0919  0.8021  2 Ta 2.55-2.63, 1 Ni 2.61
Se  0.5889  0.9081  0.1979  2 Ta 2.55-2.63, 1 Ni 2.61
Se  0.7659  0.7659  0.8349  1 Ni 2.47, 2 Ta 2.69
Se  0.9081  0.5889  0.1979  2 Ta 2.55-2.63, 1 Ni 2.61



Record 7
Density functional theory data (GGA-PBE) for TaV2NiSe after structural relaxation.

Summary:
Total magnetic moment   0.206 μB per atom
Formation energy without anion corrections   0.973 eV/atom
Mass density   8.2 g/cm³

Unit cell a=4.4688 b=4.4688 c=4.2420 alpha=90.00 beta=90.00 gamma=90.00
Closest atoms and distances in Å follow each position.
Atoms (fractional coordinates):
Ta  0.0000  0.0000  0.0000  8 V 3.08, 4 Se 3.16
V  0.0000  0.5000  0.5000  2 Ni 2.23
V  0.5000  0.0000  0.5000  2 Ni 2.23
Ni  0.5000  0.5000  0.5000  2 Se 2.12, 4 V 2.23
Se  0.5000  0.5000  0.0000  2 Ni 2.12



Record 8
Density functional theory data (GGA-PBE) for Tb3Ni5Se12 after structural relaxation.

Summary:
Total magnetic moment   0.000 μB per atom
Formation energy without anion corrections   -0.737 eV/atom
Mass density   6.5 g/cm³

Unit cell a=13.1893 b=13.1893 c=13.1893 alpha=109.47 beta=109.47 gamma=109.47
Closest atoms and distances in Å follow each position.
Atoms (fractional coordinates):
Tb  0.1250  0.2500  0.3750  8 Se 2.95-3.01
Tb  0.1250  0.3750  0.7500  8 Se 2.95-3.01
Tb  0.2500  0.3750  0.1250  8 Se 2.95-3.01
Tb  0.2500  0.8750  0.6250  8 Se 2.95-3.01
Tb  0.3750  0.1250  0.2500  8 Se 2.95-3.01
Tb  0.3750  0.7500  0.1250  8 Se 2.95-3.01
Tb  0.6250  0.2500  0.8750  8 Se 2.95-3.01
Tb  0.6250  0.8750  0.7500  8 Se 2.95-3.01
Tb  0.7500  0.1250  0.3750  8 Se 2.95-3.01
Tb  0.7500  0.6250  0.8750  8 Se 2.95-3.01
Tb  0.8750  0.6250  0.2500  8 Se 2.95-3.01
Tb  0.8750  0.7500  0.6250  8 Se 2.95-3.01
Ni  0.0000  0.0000  0.0000  6 Se 2.43
Ni  0.0000  0.0000  0.5000  6 Se 2.43
Ni  0.0000  0.5000  0.0000  6 Se 2.43
Ni  0.0000  0.5000  0.5000  6 Se 2.43
Ni  0.1250  0.7500  0.8750  4 Se 2.31
Ni  0.1250  0.8750  0.2500  4 Se 2.31
Ni  0.2500  0.1250  0.8750  4 Se 2.31
Ni  0.2500  0.6250  0.3750  4 Se 2.31
Ni  0.3750  0.2500  0.6250  4 Se 2.31
Ni  0.3750  0.6250  0.7500  4 Se 2.31
Ni  0.5000  0.0000  0.0000  6 Se 2.43
Ni  0.5000  0.0000  0.5000  6 Se 2.43
Ni  0.5000  0.5000  0.0000  6 Se 2.43
Ni  0.5000  0.5000  0.5000  6 Se 2.43
Ni  0.6250  0.3750  0.2500  4 Se 2.31
Ni  0.6250  0.7500  0.3750  4 Se 2.31
Ni  0.7500  0.3750  0.6250  4 Se 2.31
Ni  0.7500  0.8750  0.1250  4 Se 2.31
Ni  0.8750  0.1250  0.7500  4 Se 2.31
Ni  0.8750  0.2500  0.1250  4 Se 2.31
Se  0.0267  0.2024  0.1175  2 Ni 2.31-2.43
Se  0.0267  0.3243  0.9093  2 Ni 2.31-2.43
Se  0.0849  0.7024  0.6757  2 Ni 2.31-2.43
Se  0.0849  0.8825  0.4093  2 Ni 2.31-2.43
Se  0.0907  0.6175  0.4151  2 Ni 2.31-2.43
Se  0.0907  0.9733  0.6757  2 Ni 2.31-2.43
Se  0.1175  0.0267  0.2024  2 Ni 2.31-2.43
Se  0.1175  0.5907  0.9151  2 Ni 2.31-2.43
Se  0.1757  0.2024  0.5849  2 Ni 2.31-2.43
Se  0.1757  0.4733  0.5907  2 Ni 2.31-2.43
Se  0.2024  0.1175  0.0267  2 Ni 2.31-2.43
Se  0.2024  0.5849  0.1757  2 Ni 2.31-2.43
Se  0.2976  0.3243  0.9151  2 Ni 2.31-2.43
Se  0.2976  0.4733  0.3825  2 Ni 2.31-2.43
Se  0.3243  0.9093  0.0267  2 Ni 2.31-2.43
Se  0.3243  0.9151  0.2976  2 Ni 2.31-2.43
Se  0.3825  0.2976  0.4733  2 Ni 2.31-2.43
Se  0.3825  0.5849  0.9093  2 Ni 2.31-2.43
Se  0.4093  0.0849  0.8825  2 Ni 2.31-2.43
Se  0.4093  0.8243  0.5267  2 Ni 2.31-2.43
Se  0.4151  0.0907  0.6175  2 Ni 2.31-2.43
Se  0.4151  0.8243  0.7976  2 Ni 2.31-2.43
Se  0.4733  0.3825  0.2976  2 Ni 2.31-2.43
Se  0.4733  0.5907  0.1757  2 Ni 2.31-2.43
Se  0.5267  0.4093  0.8243  2 Ni 2.31-2.43
Se  0.5267  0.6175  0.7024  2 Ni 2.31-2.43
Se  0.5849  0.1757  0.2024  2 Ni 2.31-2.43
Se  0.5849  0.9093  0.3825  2 Ni 2.31-2.43
Se  0.5907  0.1757  0.4733  2 Ni 2.31-2.43
Se  0.5907  0.9151  0.1175  2 Ni 2.31-2.43
Se  0.6175  0.4151  0.0907  2 Ni 2.31-2.43
Se  0.6175  0.7024  0.5267  2 Ni 2.31-2.43
Se  0.6757  0.0849  0.7024  2 Ni 2.31-2.43
Se  0.6757  0.0907  0.9733  2 Ni 2.31-2.43
Se  0.7024  0.5267  0.6175  2 Ni 2.31-2.43
Se  0.7024  0.6757  0.0849  2 Ni 2.31-2.43
Se  0.7976  0.4151  0.8243  2 Ni 2.31-2.43
Se  0.7976  0.8825  0.9733  2 Ni 2.31-2.43
Se  0.8243  0.5267  0.4093  2 Ni 2.31-2.43
Se  0.8243  0.7976  0.4151  2 Ni 2.31-2.43
Se  0.8825  0.4093  0.0849  2 Ni 2.31-2.43
Se  0.8825  0.9733  0.7976  2 Ni 2.31-2.43
Se  0.9093  0.0267  0.3243  2 Ni 2.31-2.43
Se  0.9093  0.3825  0.5849  2 Ni 2.31-2.43
Se  0.9151  0.1175  0.5907  2 Ni 2.31-2.43
Se  0.9151  0.2976  0.3243  2 Ni 2.31-2.43
Se  0.9733  0.6757  0.0907  2 Ni 2.31-2.43
Se  0.9733  0.7976  0.8825  2 Ni 2.31-2.43



Record 9
Density functional theory data (GGA-PBE) for Tb2Ni2Se after structural relaxation.

Summary:
Total magnetic moment   0.049 μB per atom
Formation energy without anion corrections   -0.983 eV/atom
Mass density   8.3 g/cm³

Unit cell a=7.8864 b=7.8864 c=7.8864 alpha=29.20 beta=29.20 gamma=29.20
Closest atoms and distances in Å follow each position.
Atoms (fractional coordinates):
Tb  0.0824  0.0824  0.0824  6 Ni 2.92-2.99, 3 Se 2.98
Tb  0.9176  0.9176  0.9176  6 Ni 2.92-2.99, 3 Se 2.98
Ni  0.3308  0.3308  0.3308  3 Ni 2.30
Ni  0.6692  0.6692  0.6692  3 Ni 2.30
Se  0.5000  0.5000  0.5000  6 Tb 2.98



Record 10
Density functional theory data (GGA-PBE) for Tb5Ni2Se2 after structural relaxation.

Summary:
Total magnetic moment   0.000 μB per atom
Formation energy without anion corrections   -0.932 eV/atom
Mass density   8.5 g/cm³

Unit cell a=8.3482 b=8.3482 c=7.5121 alpha=90.00 beta=90.00 gamma=53.32
Closest atoms and distances in Å follow each position.
Atoms (fractional coordinates):
Tb  0.0000  0.0000  0.0000  4 Ni 2.92-2.96, 2 Se 3.04
Tb  0.0336  0.7120  0.6580  3 Ni 2.88-2.93, 3 Se 3.03-3.06
Tb  0.2120  0.5336  0.1580  3 Ni 2.88-2.93, 3 Se 3.03-3.06
Tb  0.2880  0.9664  0.6580  3 Ni 2.88-2.93, 3 Se 3.03-3.06
Tb  0.4664  0.7880  0.1580  3 Ni 2.88-2.93, 3 Se 3.03-3.06
Tb  0.5000  0.5000  0.5000  4 Ni 2.92-2.96, 2 Se 3.04
Tb  0.5336  0.2120  0.8420  3 Ni 2.88-2.93, 3 Se 3.03-3.06
Tb  0.7120  0.0336  0.3420  3 Ni 2.88-2.93, 3 Se 3.03-3.06
Tb  0.7880  0.4664  0.8420  3 Ni 2.88-2.93, 3 Se 3.03-3.06
Tb  0.9664  0.2880  0.3420  3 Ni 2.88-2.93, 3 Se 3.03-3.06
Ni  0.1328  0.8672  0.3713  1 Ni 2.77, 8 Tb 2.88-2.96
Ni  0.3672  0.6328  0.8713  1 Ni 2.77, 8 Tb 2.88-2.96
Ni  0.6328  0.3672  0.1287  1 Ni 2.77, 8 Tb 2.88-2.96
Ni  0.8672  0.1328  0.6287  1 Ni 2.77, 8 Tb 2.88-2.96
Se  0.2036  0.2036  0.0000  7 Tb 3.03-3.06
Se  0.2964  0.2964  0.5000  7 Tb 3.03-3.06
Se  0.7036  0.7036  0.5000  7 Tb 3.03-3.06
Se  0.7964  0.7964  0.0000  7 Tb 3.03-3.06



Record 11
Density functional theory data (GGA-PBE) for TbNiSe after structural relaxation.

Summary:
Total magnetic moment   0.117 μB per atom
Formation energy without anion corrections   -0.559 eV/atom
Mass density   7.6 g/cm³

Unit cell a=10.1973 b=3.8095 c=3.8095 alpha=60.54 beta=90.00 gamma=90.00
Closest atoms and distances in Å follow each position.
Atoms (fractional coordinates):
Tb  0.1742  0.0000  0.0000  3 Ni 2.83-2.84, 3 Se 2.85
Tb  0.8258  0.0000  0.0000  3 Ni 2.83-2.84, 3 Se 2.85
Ni  0.0000  0.6632  0.6632  6 Tb 2.83-2.84
Ni  0.5000  0.9772  0.9772  6 Se 2.55-2.74
Se  0.3516  0.6649  0.6649  3 Ni 2.55-2.74, 3 Tb 2.85
Se  0.6484  0.6649  0.6649  3 Ni 2.55-2.74, 3 Tb 2.85



Record 12
Density functional theory data (GGA-PBE) for Tb4NiSe3 after structural relaxation.

Summary:
Total magnetic moment   0.000 μB per atom
Formation energy without anion corrections   -1.439 eV/atom
Mass density   8.0 g/cm³

Unit cell a=7.1978 b=8.1942 c=6.9450 alpha=90.00 beta=109.15 gamma=90.00
Closest atoms and distances in Å follow each position.
Atoms (fractional coordinates):
Tb  0.2294  0.1169  0.0069  2 Ni 2.72-2.79, 3 Se 2.91-3.04
Tb  0.2294  0.8831  0.5069  2 Ni 2.72-2.79, 3 Se 2.91-3.04
Tb  0.2381  0.3578  0.4870  1 Ni 2.75, 5 Se 2.87-3.01
Tb  0.2381  0.6422  0.9870  1 Ni 2.75, 5 Se 2.87-3.01
Tb  0.7619  0.3578  0.0130  1 Ni 2.75, 5 Se 2.87-3.01
Tb  0.7619  0.6422  0.5130  1 Ni 2.75, 5 Se 2.87-3.01
Tb  0.7706  0.1169  0.4931  2 Ni 2.72-2.79, 3 Se 2.91-3.04
Tb  0.7706  0.8831  0.9931  2 Ni 2.72-2.79, 3 Se 2.91-3.04
Ni  0.0000  0.1204  0.2500  6 Tb 2.72-2.79
Ni  0.0000  0.8796  0.7500  6 Tb 2.72-2.79
Se  0.0000  0.3797  0.7500  6 Tb 2.89-2.93
Se  0.0000  0.6203  0.2500  6 Tb 2.89-2.93
Se  0.5000  0.1264  0.7500  6 Tb 2.87-3.04
Se  0.5000  0.3845  0.2500  6 Tb 2.89-3.05
Se  0.5000  0.6155  0.7500  6 Tb 2.89-3.05
Se  0.5000  0.8736  0.2500  6 Tb 2.87-3.04